Computed, not measured: an optimized crystal structure of Sb2Pb2Br at the GGA-PBE level of DFT.

Properties
Energy: -3.4906 eV per atom
E_form (uncorrected): -0.0237 eV/atom

abc: 8.904 8.904 4.122
angles: 90.00 90.00 90.00
Atoms (fractional coordinates):
Sb  0.881  0.619  0.000
Sb  0.619  0.119  0.000
Br  0.500  0.500  0.000
Sb  0.381  0.881  0.000
Br  0.000  0.000  0.000
Pb  0.658  0.842  0.500
Pb  0.842  0.342  0.500
Pb  0.342  0.158  0.500
Sb  0.119  0.381  0.000
Pb  0.158  0.658  0.500

Computed, not measured: an optimized crystal structure of SbPbBr at the GGA-PBE level of DFT.

Properties
Energy: -3.1621 eV per atom
E_form (uncorrected): 0.0058 eV/atom

abc: 5.269 5.269 5.269
angles: 60.00 60.00 60.00
Atoms (fractional coordinates):
Sb  0.000  0.000  0.000
Pb  0.750  0.750  0.750
Br  0.500  0.500  0.500

Computed, not measured: an optimized crystal structure of Sb2PbBr at the GGA-PBE level of DFT.

Properties
Energy: -3.4211 eV per atom
E_form (uncorrected): -0.0146 eV/atom

abc: 5.426 5.426 5.426
angles: 60.00 60.00 60.00
Atoms (fractional coordinates):
Br  0.500  0.500  0.500
Sb  0.250  0.250  0.250
Pb  0.750  0.750  0.750
Sb  0.000  0.000  0.000

Computed, not measured: an optimized crystal structure of SbPb3Br at the GGA-PBE level of DFT.

Properties
Energy: -2.9289 eV per atom
E_form (uncorrected): 0.4552 eV/atom

abc: 5.751 5.751 5.751
angles: 90.00 90.00 90.00
Atoms (fractional coordinates):
Sb  0.500  0.500  0.500
Pb  0.000  0.500  0.000
Br  0.000  0.000  0.000
Pb  0.500  0.000  0.000
Pb  0.000  0.000  0.500

Computed, not measured: an optimized crystal structure of Sb2PbBr at the GGA-PBE level of DFT.

Properties
Energy: -3.2643 eV per atom
E_form (uncorrected): 0.1422 eV/atom

abc: 3.456 3.456 9.528
angles: 90.00 90.00 90.00
Atoms (fractional coordinates):
Br  0.500  0.500  0.250
Sb  0.000  0.000  0.007
Sb  0.000  0.000  0.493
Pb  0.500  0.500  0.750

Computed, not measured: an optimized crystal structure of Sb2PbBr at the GGA-PBE level of DFT.

Properties
Energy: -3.2995 eV per atom
E_form (uncorrected): 0.1070 eV/atom

abc: 3.463 3.463 10.858
angles: 90.00 90.00 119.54
Atoms (fractional coordinates):
Pb  0.500  0.500  0.750
Br  0.500  0.500  0.250
Sb  0.000  0.000  0.485
Sb  0.000  0.000  0.015

Computed, not measured: an optimized crystal structure of SbPb2Br at the GGA-PBE level of DFT.

Properties
Energy: -3.4213 eV per atom
E_form (uncorrected): -0.1183 eV/atom

abc: 8.223 8.223 7.394
angles: 56.22 56.22 90.00
Atoms (fractional coordinates):
Pb  0.640  0.125  0.250
Sb  0.750  0.250  0.500
Pb  0.375  0.360  0.750
Pb  0.110  0.625  0.250
Sb  0.000  0.000  0.000
Br  0.250  0.750  0.500
Br  0.500  0.500  0.000
Pb  0.875  0.890  0.750

Computed, not measured: an optimized crystal structure of Sb2PbBr at the GGA-PBE level of DFT.

Properties
Energy: -3.0755 eV per atom
E_form (uncorrected): 0.3310 eV/atom

abc: 7.627 7.627 7.807
angles: 60.76 60.76 90.00
Atoms (fractional coordinates):
Pb  0.000  0.000  0.000
Sb  0.635  0.125  0.250
Br  0.250  0.750  0.500
Sb  0.375  0.365  0.750
Pb  0.750  0.250  0.500
Sb  0.875  0.885  0.750
Sb  0.115  0.625  0.250
Br  0.500  0.500  0.000

Computed, not measured: an optimized crystal structure of SbPbBr at the GGA-PBE level of DFT.

Properties
Energy: -3.2379 eV per atom
E_form (uncorrected): -0.0700 eV/atom

abc: 5.826 5.826 5.826
angles: 144.07 127.53 65.23
Atoms (fractional coordinates):
Pb  0.314  0.314  0.000
Br  0.990  0.990  0.000
Sb  0.695  0.695  0.000

Computed, not measured: an optimized crystal structure of SbPbBr2 at the GGA-PBE level of DFT.

Properties
Energy: -3.0825 eV per atom
E_form (uncorrected): -0.2884 eV/atom

abc: 8.253 8.253 8.253
angles: 154.22 145.43 43.62
Atoms (fractional coordinates):
Br  0.011  0.011  0.000
Pb  0.449  0.449  0.000
Sb  0.272  0.772  0.500
Br  0.768  0.268  0.500

Computed, not measured: an optimized crystal structure of SbPbBr at the GGA-PBE level of DFT.

Properties
Energy: -3.1912 eV per atom
E_form (uncorrected): -0.0233 eV/atom

abc: 5.351 5.351 3.488
angles: 90.00 90.00 120.00
Atoms (fractional coordinates):
Pb  0.333  0.667  0.373
Sb  0.667  0.333  0.624
Br  0.000  0.000  0.003

Computed, not measured: an optimized crystal structure of SbPb3Br at the GGA-PBE level of DFT.

Properties
Energy: -3.0418 eV per atom
E_form (uncorrected): 0.3423 eV/atom

abc: 6.021 6.021 6.021
angles: 90.00 90.00 90.00
Atoms (fractional coordinates):
Pb  0.500  0.000  0.000
Br  0.500  0.500  0.500
Pb  0.000  0.000  0.500
Pb  0.000  0.500  0.000
Sb  0.000  0.000  0.000

- The highest energy belongs to which entry?
  number 4